# Er4Os

A relaxed structure of Er4Os (PBE, Alexandria via LeMat-Bulk).

Cell lengths 7.2122, 7.2121, 7.2104 Å; angles 107.31, 107.31, 113.90 degrees
Positions (direct):
Os1 0.5804 0.0804 0.5000
Er1 0.8084 0.0099 0.8133
Er2 0.7142 0.4008 0.2984
Er3 0.6508 0.4642 0.7984
Os2 0.3304 0.3304 0.0000
Er4 0.1024 0.4159 0.7016
Er5 0.6658 0.8524 0.2016
Er6 0.2599 0.5584 0.3133
Er7 0.1966 0.9951 0.1867
Er8 0.2451 0.9466 0.6867

Calculated values
Total DFT energy (no corrections) (eV/f.u.): -30.34
ρ (Mg/m³): 9.930
Energy relative to the elements (kJ/mol of formula units): -83
D(E_F) (states/eV per atom): 1.0470

# Nd4PtAu

A relaxed structure of Nd4PtAu (PBE, Alexandria via LeMat-Bulk).

Cell lengths 7.2277, 7.2656, 7.2958 Å; angles 90.00, 92.70, 90.00 degrees
Positions (direct):
Pt1 0.5000 0.0000 0.5000
Nd1 0.1726 0.8404 0.6556
Nd2 0.3549 0.8440 0.1660
Nd3 0.8549 0.6560 0.1660
Pt2 0.0000 0.5000 0.5000
Au1 0.0000 0.0000 0.0000
Nd4 0.6726 0.6596 0.6556
Nd5 0.3274 0.3404 0.3444
Au2 0.5000 0.5000 0.0000
Nd6 0.8274 0.1596 0.3444
Nd7 0.6451 0.1560 0.8340
Nd8 0.1451 0.3440 0.8340

Calculated values
Total DFT energy (no corrections) (eV/f.u.): -31.70
ρ (Mg/m³): 8.409
Energy relative to the elements (kJ/mol of formula units): -319
D(E_F) (states/eV per atom): 1.3676

# BaTl12Au4

A relaxed structure of BaTl12Au4 (PBE, Alexandria via LeMat-Bulk).

Cell lengths 8.8538, 8.8538, 8.8538 Å; angles 109.47, 109.47, 109.47 degrees
Positions (direct):
Tl1 0.4976 0.8433 0.6543
Tl2 0.8433 0.6543 0.4976
Tl3 0.3457 0.1890 0.8433
Tl4 0.8110 0.1567 0.6543
Au1 0.5000 0.0000 0.0000
Tl5 0.5024 0.1567 0.3457
Ba1 0.0000 0.0000 0.0000
Tl6 0.3457 0.5024 0.1567
Tl7 0.6543 0.8110 0.1567
Tl8 0.8433 0.3457 0.1890
Tl9 0.1890 0.8433 0.3457
Au2 0.0000 0.0000 0.5000
Au3 0.5000 0.5000 0.5000
Au4 0.0000 0.5000 0.0000
Tl10 0.1567 0.6543 0.8110
Tl11 0.1567 0.3457 0.5024
Tl12 0.6543 0.4976 0.8433

Calculated values
Total DFT energy (no corrections) (eV/f.u.): -44.04
ρ (Mg/m³): 10.498
Energy relative to the elements (kJ/mol of formula units): -59
D(E_F) (states/eV per atom): 0.7101

# ScOsAu4

A relaxed structure of ScOsAu4 (PBE, Alexandria via LeMat-Bulk).

Cell lengths 5.3977, 5.3977, 5.3977 Å; angles 60.00, 60.00, 60.00 degrees
Positions (direct):
Au1 0.3752 0.3752 0.8744
Os1 0.7500 0.7500 0.7500
Au2 0.3752 0.3752 0.3752
Au3 0.8744 0.3752 0.3752
Au4 0.3752 0.8744 0.3752
Sc1 0.0000 0.0000 0.0000

Calculated values
Total DFT energy (no corrections) (eV/f.u.): -29.12
ρ (Mg/m³): 15.277
Energy relative to the elements (kJ/mol of formula units): 150
D(E_F) (states/eV per atom): 0.8587

# Pm2Ga3Cu4Ni

A relaxed structure of Pm2Ga3Cu4Ni (PBE, Alexandria via LeMat-Bulk).

Cell lengths 4.1500, 4.1500, 10.1088 Å; angles 90.00, 90.00, 90.00 degrees
Positions (direct):
Cu1 0.5000 0.0000 0.6286
Pm1 0.0000 0.5000 0.7426
Ga1 0.0000 0.5000 0.1307
Ni1 0.5000 0.5000 0.5000
Ga2 0.0000 0.0000 0.5000
Cu2 0.5000 0.5000 0.0000
Cu3 0.0000 0.0000 0.0000
Cu4 0.0000 0.5000 0.3714
Pm2 0.5000 0.0000 0.2574
Ga3 0.5000 0.0000 0.8693

Calculated values
Total DFT energy (no corrections) (eV/f.u.): -44.29
ρ (Mg/m³): 7.745
Energy relative to the elements (kJ/mol of formula units): -342
D(E_F) (states/eV per atom): 0.6852

# Pr2SmDy3Bi6

A relaxed structure of Pr2SmDy3Bi6 (PBE, Alexandria via LeMat-Bulk).

Cell lengths 4.5475, 9.0872, 10.1578 Å; angles 102.81, 102.93, 90.00 degrees
Positions (direct):
Bi1 0.3325 0.9236 0.6649
Dy1 0.8326 0.1663 0.6652
Bi2 0.0029 0.7478 0.0057
Bi3 0.6675 0.0764 0.3351
Dy2 0.5000 0.5000 0.0000
Dy3 0.1674 0.8337 0.3348
Pr1 0.1662 0.3329 0.3325
Bi4 0.6643 0.5894 0.3286
Sm1 0.5000 0.0000 0.0000
Pr2 0.8338 0.6671 0.6675
Bi5 0.3357 0.4106 0.6714
Bi6 0.9971 0.2522 0.9943

Calculated values
Total DFT energy (no corrections) (eV/f.u.): -62.18
ρ (Mg/m³): 9.060
Energy relative to the elements (kJ/mol of formula units): -1043
D(E_F) (states/eV per atom): 0.1686

# HfMo

A relaxed structure of HfMo (PBE, Alexandria via LeMat-Bulk).

Cell lengths 9.8911, 9.8911, 3.1730 Å; angles 90.00, 90.00, 90.00 degrees
Positions (direct):
Hf1 0.6570 0.3430 0.5000
Hf2 0.1570 0.1570 0.0000
Mo1 0.0000 0.6560 0.5000
Hf3 0.8430 0.1570 0.0000
Mo2 0.3440 0.0000 0.5000
Mo3 0.5000 0.1560 0.0000
Hf4 0.3430 0.6570 0.5000
Hf5 0.1570 0.8430 0.0000
Hf6 0.6570 0.6570 0.5000
Mo4 0.1560 0.5000 0.0000
Hf7 0.8430 0.8430 0.0000
Mo5 0.0000 0.3440 0.5000
Hf8 0.3430 0.3430 0.5000
Mo6 0.6560 0.0000 0.5000
Mo7 0.5000 0.8440 0.0000
Mo8 0.8440 0.5000 0.0000

Calculated values
Total DFT energy (no corrections) (eV/f.u.): -20.66
ρ (Mg/m³): 11.744
Energy relative to the elements (kJ/mol of formula units): 12
D(E_F) (states/eV per atom): 0.9493

# RhAuIN2

A relaxed structure of RhAuIN2 (PBE, Alexandria via LeMat-Bulk).

Cell lengths 3.8353, 3.8353, 8.6276 Å; angles 90.00, 90.00, 90.00 degrees
Positions (direct):
Au1 0.5000 0.5000 0.5000
Rh1 0.0000 0.0000 0.0000
I1 0.0000 0.0000 0.5000
N1 0.5000 0.0000 0.0000
N2 0.0000 0.5000 0.0000

Calculated values
Total DFT energy (no corrections) (eV/f.u.): -23.35
ρ (Mg/m³): 5.951
D(E_F) (states/eV per atom): 0.3086
Uncorrected formation energy (meV per atom): 1095.7